1.
Compound: Hf6Co16Ge7
Source: the Open Quantum Materials Database
Functional: GGA-PBE
Structure: relaxed

```
29
Lattice="0.0000 5.7582 5.7582 5.7582 0.0000 5.7582 5.7582 5.7582 0.0000" Properties=species:S:1:pos:R:3 pbc="T T T"
Hf 5.7582 5.7582 2.3468
Hf 5.7582 2.3468 5.7582
Hf 9.1695 5.7582 5.7582
Hf 2.3468 5.7582 5.7582
Hf 5.7582 9.1695 5.7582
Hf 5.7582 5.7582 9.1695
Co 7.1451 4.3712 4.3712
Co 1.9511 1.9511 1.9511
Co 3.8070 3.8070 1.9511
Co 3.8070 1.9511 3.8070
Co 4.3712 4.3712 4.3712
Co 7.1451 7.1451 4.3712
Co 7.1451 4.3712 7.1451
Co 1.9511 3.8070 3.8070
Co 9.5652 7.7093 7.7093
Co 4.3712 7.1451 4.3712
Co 4.3712 4.3712 7.1451
Co 7.1451 7.1451 7.1451
Co 7.7093 9.5652 7.7093
Co 7.7093 7.7093 9.5652
Co 9.5652 9.5652 9.5652
Co 4.3712 7.1451 7.1451
Ge 2.8791 2.8791 0.0000
Ge 2.8791 0.0000 2.8791
Ge 5.7582 2.8791 2.8791
Ge 0.0000 2.8791 2.8791
Ge 2.8791 5.7582 2.8791
Ge 2.8791 2.8791 5.7582
Ge 5.7582 5.7582 5.7582
```

Properties
Crystal system ... cubic
Total DFT energy (no corrections) ... -7.5723 eV per atom
Space group ... Fm-3m (225)

2.
Compound: ScInAg2
Source: the Open Quantum Materials Database
Functional: GGA-PBE
Structure: relaxed

```
8
Lattice="4.6833 0.0000 0.0000 -2.3417 4.0559 0.0000 0.0000 0.0000 8.6120" Properties=species:S:1:pos:R:3 pbc="T T T"
Sc 0.0000 2.7039 2.1530
Sc 2.3417 1.3520 6.4590
In 0.0000 0.0000 0.0000
In 0.0000 0.0000 4.3060
Ag 0.0000 2.7039 5.0860
Ag 0.0000 2.7039 7.8320
Ag 2.3417 1.3520 0.7800
Ag 2.3417 1.3520 3.5260
```

Properties
Crystal system ... hexagonal
Total DFT energy (no corrections) ... -3.9107 eV per atom
Space group ... P6_3/mmc (194)

3.
Compound: Zr5TePb3
Source: the Open Quantum Materials Database
Functional: GGA-PBE
Structure: relaxed

```
18
Lattice="8.8758 0.0000 0.0000 -4.4379 7.6867 0.0000 0.0000 0.0000 6.1735" Properties=species:S:1:pos:R:3 pbc="T T T"
Zr -1.2312 2.1325 1.5434
Zr -3.2067 5.5542 4.6301
Zr 2.4624 0.0000 1.5434
Zr 1.2312 2.1325 4.6301
Zr 0.0000 5.1245 0.0000
Zr 0.0000 5.1245 3.0868
Zr 4.4379 2.5622 0.0000
Zr 4.4379 2.5622 3.0868
Zr 6.4134 0.0000 4.6301
Zr 3.2067 5.5542 1.5434
Te 0.0000 0.0000 0.0000
Te 0.0000 0.0000 3.0868
Pb -1.7225 2.9834 4.6301
Pb -2.7155 4.7033 1.5434
Pb 3.4449 0.0000 4.6301
Pb 1.7225 2.9834 1.5434
Pb 5.4309 0.0000 1.5434
Pb 2.7155 4.7033 4.6301
```

Properties
Crystal system ... hexagonal
Total DFT energy (no corrections) ... -6.7097 eV per atom
Space group ... P6_3/mcm (193)

4.
Compound: HfTlCuIr
Source: the Open Quantum Materials Database
Functional: GGA-PBE
Structure: relaxed

```
4
Lattice="0.0000 3.2835 3.2835 3.2835 0.0000 3.2835 3.2835 3.2835 0.0000" Properties=species:S:1:pos:R:3 pbc="T T T"
Hf 0.0000 0.0000 0.0000
Tl 1.6417 1.6417 1.6417
Cu 3.2835 3.2835 3.2835
Ir 4.9252 4.9252 4.9252
```

Properties
Crystal system ... cubic
Excess energy over the best structure of this formula in the dataset ... 0.64 eV/f.u.
Space group ... F-43m (216)

Number 1 is which compound?
Hf6Co16Ge7

What did the second record say?
Compound: ScInAg2
Source: the Open Quantum Materials Database
Functional: GGA-PBE
Structure: relaxed

```
8
Lattice="4.6833 0.0000 0.0000 -2.3417 4.0559 0.0000 0.0000 0.0000 8.6120" Properties=species:S:1:pos:R:3 pbc="T T T"
Sc 0.0000 2.7039 2.1530
Sc 2.3417 1.3520 6.4590
In 0.0000 0.0000 0.0000
In 0.0000 0.0000 4.3060
Ag 0.0000 2.7039 5.0860
Ag 0.0000 2.7039 7.8320
Ag 2.3417 1.3520 0.7800
Ag 2.3417 1.3520 3.5260
```

Properties
Crystal system ... hexagonal
Total DFT energy (no corrections) ... -3.9107 eV per atom
Space group ... P6_3/mmc (194)